No. 1
Here is a geometry-optimized PaCdCo structure from OQMD. Energies are from PBE-GGA.

Summary:
electronic total energy	-17.113	eV for the cell shown
polymorph energy (0 for the lowest one)	0.000	eV/atom
ΔH_f (0 K)	37	kJ/mol of formula units

CIF file:
```
data_PaCdCo
_chemical_formula_sum 'Pa1 Cd1 Co1'
_cell_length_a 4.483
_cell_length_b 4.483
_cell_length_c 4.483
_cell_angle_alpha 60.00
_cell_angle_beta 60.00
_cell_angle_gamma 60.00
_symmetry_space_group_name_H-M 'P 1'
_symmetry_Int_Tables_number 1
_symmetry_space_group_name_Hall 'P 1'
loop_
_atom_site_label
_atom_site_type_symbol
_atom_site_fract_x
_atom_site_fract_y
_atom_site_fract_z
Pa1 Pa 0.000 0.000 0.000
Cd1 Cd 0.500 0.500 0.500
Co1 Co 0.750 0.750 0.750
```

---

No. 2
Here is a geometry-optimized MgPaZn structure from OQMD. Energies are from PBE-GGA.

Summary:
electronic total energy	-11.198	eV for the cell shown
polymorph energy (0 for the lowest one)	0.000	eV/atom

CIF file:
```
data_MgPaZn
_chemical_formula_sum 'Mg1 Pa1 Zn1'
_cell_length_a 4.682
_cell_length_b 4.682
_cell_length_c 4.682
_cell_angle_alpha 60.00
_cell_angle_beta 60.00
_cell_angle_gamma 60.00
_symmetry_space_group_name_H-M 'P 1'
_symmetry_Int_Tables_number 1
_symmetry_space_group_name_Hall 'P 1'
loop_
_atom_site_label
_atom_site_type_symbol
_atom_site_fract_x
_atom_site_fract_y
_atom_site_fract_z
Mg1 Mg 0.000 0.000 0.000
Pa1 Pa 0.500 0.500 0.500
Zn1 Zn 0.250 0.250 0.250
```

---

No. 3
Here is a geometry-optimized CsMgNb structure from OQMD. Energies are from PBE-GGA.

Summary:
electronic total energy	-7.575	eV for the cell shown

CIF file:
```
data_CsMgNb
_chemical_formula_sum 'Cs1 Mg1 Nb1'
_cell_length_a 5.567
_cell_length_b 5.567
_cell_length_c 5.567
_cell_angle_alpha 60.00
_cell_angle_beta 60.00
_cell_angle_gamma 60.00
_symmetry_space_group_name_H-M 'P 1'
_symmetry_Int_Tables_number 1
_symmetry_space_group_name_Hall 'P 1'
loop_
_atom_site_label
_atom_site_type_symbol
_atom_site_fract_x
_atom_site_fract_y
_atom_site_fract_z
Cs1 Cs 0.000 0.000 0.000
Mg1 Mg 0.500 0.500 0.500
Nb1 Nb 0.750 0.750 0.750
```

---

Please write out number 2 again, unchanged.
Here is a geometry-optimized MgPaZn structure from OQMD. Energies are from PBE-GGA.

Summary:
electronic total energy	-11.198	eV for the cell shown
polymorph energy (0 for the lowest one)	0.000	eV/atom

CIF file:
```
data_MgPaZn
_chemical_formula_sum 'Mg1 Pa1 Zn1'
_cell_length_a 4.682
_cell_length_b 4.682
_cell_length_c 4.682
_cell_angle_alpha 60.00
_cell_angle_beta 60.00
_cell_angle_gamma 60.00
_symmetry_space_group_name_H-M 'P 1'
_symmetry_Int_Tables_number 1
_symmetry_space_group_name_Hall 'P 1'
loop_
_atom_site_label
_atom_site_type_symbol
_atom_site_fract_x
_atom_site_fract_y
_atom_site_fract_z
Mg1 Mg 0.000 0.000 0.000
Pa1 Pa 0.500 0.500 0.500
Zn1 Zn 0.250 0.250 0.250
```